First-principles (PBE-GGA) data for Te2PdCN after structural relaxation, as listed in Alexandria.

Cell: 5.4361 5.4361 3.6588 Å, 90.00 90.00 90.00°
Sites, in units of the cell vectors:
Te 0.0000 0.5000 0.0000
Te 0.5000 0.0000 0.0000
Pd 0.0000 0.0000 0.0000
C 0.5000 0.5000 0.5000
N 0.0000 0.0000 0.5000

## Properties
Energy relative to the lowest polymorph listed for this composition, eV per atom: 0.9832
Energy relative to the elements, uncorrected, eV per atom: 1.8970
Magnetization, Bohr magnetons per cell: 0.37
V, A^3/atom: 21.62
Density, Mg/m³: 5.953

---

First-principles (PBE-GGA) data for RbPrTe2 after structural relaxation, as listed in Alexandria.

Cell: 9.1306 9.1306 9.1306 Å, 29.54 29.54 29.54°
Sites, in units of the cell vectors:
Rb 0.0000 0.0000 0.0000
Pr 0.1690 0.1690 0.1690
Te 0.5706 0.5706 0.5706
Te 0.7671 0.7671 0.7671

## Properties
Energy relative to the elements, uncorrected, eV per atom: -1.3957
Magnetization, Bohr magnetons per cell: 0.00
V, A^3/atom: 40.95
Density, Mg/m³: 4.881

---

First-principles (PBE-GGA) data for Be2TcAg after structural relaxation, as listed in Alexandria.

Cell: 4.1947 4.1947 4.1947 Å, 60.00 60.00 60.00°
Sites, in units of the cell vectors:
Be 0.0000 0.0000 0.0000
Be 0.2500 0.2500 0.2500
Tc 0.5000 0.5000 0.5000
Ag 0.7500 0.7500 0.7500

## Properties
Energy relative to the lowest polymorph listed for this composition, eV per atom: 0.5072
Formation enthalpy at 0 K, meV/atom: 577
Magnetization, Bohr magnetons per cell: 1.11
V, A^3/atom: 13.05
Density, Mg/m³: 7.124

---

First-principles (PBE-GGA) data for AcBPPt6 after structural relaxation, as listed in Alexandria.

Cell: 7.8615 7.8615 7.8615 Å, 121.39 119.37 89.35°
Sites, in units of the cell vectors:
Ac 0.3982 0.1482 0.2500
Ac 0.6018 0.8518 0.7500
B 0.0000 0.5000 0.5000
B 0.5000 0.5000 0.0000
P 0.0000 0.0000 0.5000
P 0.0000 0.5000 0.0000
Pt 0.0921 0.4139 0.2615
Pt 0.0921 0.8306 0.6781
Pt 0.1114 0.8614 0.2500
Pt 0.3210 0.5710 0.7500
Pt 0.3476 0.1694 0.7615
Pt 0.3476 0.5861 0.1781
Pt 0.6524 0.4139 0.8219
Pt 0.6524 0.8306 0.2385
Pt 0.6790 0.4290 0.2500
Pt 0.8886 0.1386 0.7500
Pt 0.9079 0.1694 0.3219
Pt 0.9079 0.5861 0.7385

## Properties
Formation enthalpy at 0 K, meV/atom: -597
Magnetization, Bohr magnetons per cell: 0.00
V, A^3/atom: 18.97
Density, Mg/m³: 14.000

---

First-principles (PBE-GGA) data for SrSc4Cd5 after structural relaxation, as listed in Alexandria.

Cell: 3.6180 3.6180 18.2908 Å, 90.00 90.00 90.00°
Sites, in units of the cell vectors:
Sr 0.0000 0.0000 0.0000
Sc 0.0000 0.0000 0.2175
Sc 0.0000 0.0000 0.4063
Sc 0.0000 0.0000 0.5937
Sc 0.0000 0.0000 0.7825
Cd 0.5000 0.5000 0.1280
Cd 0.5000 0.5000 0.3117
Cd 0.5000 0.5000 0.5000
Cd 0.5000 0.5000 0.6883
Cd 0.5000 0.5000 0.8720

## Properties
Formation enthalpy at 0 K, meV/atom: -280
Magnetization, Bohr magnetons per cell: 0.00
V, A^3/atom: 23.94
Density, Mg/m³: 5.753

---

First-principles (PBE-GGA) data for VHgB3 after structural relaxation, as listed in Alexandria.

Cell: 4.2892 4.2892 4.2892 Å, 90.00 90.00 90.00°
Sites, in units of the cell vectors:
V 0.0000 0.0000 0.0000
Hg 0.5000 0.5000 0.5000
B 0.0000 0.5000 0.5000
B 0.5000 0.0000 0.5000
B 0.5000 0.5000 0.0000

## Properties
Energy relative to the lowest polymorph listed for this composition, eV per atom: 1.0511
Formation enthalpy at 0 K, meV/atom: 2477
Magnetization, Bohr magnetons per cell: 3.08
V, A^3/atom: 15.78
Density, Mg/m³: 5.976

---

First-principles (PBE-GGA) data for YMo2W after structural relaxation, as listed in Alexandria.

Cell: 5.5388 5.5388 5.5388 Å, 146.15 128.74 62.85°
Sites, in units of the cell vectors:
Y 0.0000 0.0000 0.0000
Mo 0.2652 0.7652 0.5000
Mo 0.4980 0.4980 0.0000
W 0.7302 0.2302 0.5000

## Properties
Energy relative to the lowest polymorph listed for this composition, eV per atom: 0.1023
Formation enthalpy at 0 K, meV/atom: 371
Magnetization, Bohr magnetons per cell: 0.00
V, A^3/atom: 18.26
Density, Mg/m³: 10.565

---

First-principles (PBE-GGA) data for Pm2Ti2Co15 after structural relaxation, as listed in Alexandria.

Cell: 6.3676 6.3676 6.3676 Å, 82.72 82.72 82.72°
Sites, in units of the cell vectors:
Pm 0.1462 0.1462 0.1462
Pm 0.8538 0.8538 0.8538
Ti 0.3940 0.3940 0.3940
Ti 0.6060 0.6060 0.6060
Co 0.0000 0.5000 0.5000
Co 0.1548 0.1548 0.6491
Co 0.1548 0.6491 0.1548
Co 0.2105 0.5000 0.7895
Co 0.2105 0.7895 0.5000
Co 0.3509 0.8452 0.8452
Co 0.5000 0.0000 0.5000
Co 0.5000 0.2105 0.7895
Co 0.5000 0.5000 0.0000
Co 0.5000 0.7895 0.2105
Co 0.6491 0.1548 0.1548
Co 0.7895 0.2105 0.5000
Co 0.7895 0.5000 0.2105
Co 0.8452 0.3509 0.8452
Co 0.8452 0.8452 0.3509

## Properties
Formation enthalpy at 0 K, meV/atom: -139
Magnetization, Bohr magnetons per cell: 17.80
V, A^3/atom: 13.29
Density, Mg/m³: 8.353

---

First-principles (PBE-GGA) data for Nd3DySc2 after structural relaxation, as listed in Alexandria.

Cell: 8.8572 8.8572 6.9192 Å, 101.14 101.14 45.37°
Sites, in units of the cell vectors:
Nd 0.1731 0.1883 0.5950
Nd 0.1883 0.1731 0.0950
Nd 0.2369 0.7631 0.7500
Nd 0.7631 0.2369 0.2500
Nd 0.8117 0.8269 0.9050
Nd 0.8269 0.8117 0.4050
Dy 0.2354 0.7646 0.2500
Dy 0.7646 0.2354 0.7500
Sc 0.3590 0.3693 0.9360
Sc 0.3693 0.3590 0.4360
Sc 0.6307 0.6410 0.5640
Sc 0.6410 0.6307 0.0640

## Properties
Energy relative to the lowest polymorph listed for this composition, eV per atom: 0.0000
Formation enthalpy at 0 K, meV/atom: 170
Magnetization, Bohr magnetons per cell: 0.00
V, A^3/atom: 31.48
Density, Mg/m³: 6.024

---

First-principles (PBE-GGA) data for CePm2Y3 after structural relaxation, as listed in Alexandria.

Cell: 9.5082 9.5082 6.2249 Å, 90.22 90.22 44.28°
Sites, in units of the cell vectors:
Ce 0.1180 0.8820 0.7500
Ce 0.8820 0.1180 0.2500
Pm 0.0417 0.2877 0.9187
Pm 0.2877 0.0417 0.4187
Pm 0.7123 0.9583 0.5813
Pm 0.9583 0.7123 0.0813
Y 0.2072 0.4615 0.5848
Y 0.3749 0.6251 0.2500
Y 0.4615 0.2072 0.0848
Y 0.5385 0.7928 0.9152
Y 0.6251 0.3749 0.7500
Y 0.7928 0.5385 0.4152

## Properties
Energy relative to the lowest polymorph listed for this composition, eV per atom: 0.0000
Formation enthalpy at 0 K, meV/atom: 51
Magnetization, Bohr magnetons per cell: 1.87
V, A^3/atom: 32.74
Density, Mg/m³: 5.890

---

First-principles (PBE-GGA) data for Cr3Ni6Rh2 after structural relaxation, as listed in Alexandria.

Cell: 4.4539 5.6536 5.7091 Å, 107.21 97.14 104.92°
Sites, in units of the cell vectors:
Cr 0.0000 0.0000 0.0000
Cr 0.0964 0.3671 0.8181
Cr 0.9036 0.6329 0.1819
Ni 0.1808 0.7193 0.6387
Ni 0.3527 0.4529 0.2603
Ni 0.4517 0.8111 0.0791
Ni 0.5483 0.1889 0.9209
Ni 0.6473 0.5471 0.7397
Ni 0.8192 0.2807 0.3613
Rh 0.2714 0.0921 0.4494
Rh 0.7286 0.9079 0.5506

## Properties
Formation enthalpy at 0 K, meV/atom: 3
Magnetization, Bohr magnetons per cell: 0.77
V, A^3/atom: 11.77
Density, Mg/m³: 9.154

---

First-principles (PBE-GGA) data for PmMgAl after structural relaxation, as listed in Alexandria.

Cell: 7.5061 7.5061 4.6230 Å, 90.00 90.00 120.00°
Sites, in units of the cell vectors:
Pm 0.0000 0.5713 0.0000
Pm 0.4287 0.4287 0.0000
Pm 0.5713 0.0000 0.0000
Mg 0.0000 0.2413 0.5000
Mg 0.2413 0.0000 0.5000
Mg 0.7587 0.7587 0.5000
Al 0.0000 0.0000 0.0000
Al 0.3333 0.6667 0.5000
Al 0.6667 0.3333 0.5000

## Properties
Energy relative to the lowest polymorph listed for this composition, eV per atom: 0.0000
Formation enthalpy at 0 K, meV/atom: -318
Magnetization, Bohr magnetons per cell: 0.00
V, A^3/atom: 25.06
Density, Mg/m³: 4.335